18
Lattice="3.678 2.124 5.820 -3.678 2.124 5.820 0.000 -4.247 5.820" Properties=species:S:1:pos:R:3 comment="PBE Rb2LiGa3F12, relaxed" mass_density_g_cm3=3.7 total_magnetization_mub_per_atom=0.000 e_tot_ev_per_atom=-4.7290 formation_energy_uncorrected_ev_per_atom=-2.7631 pbc="T T T"
Rb 0.000 0.000 2.329
Rb 0.000 0.000 15.132
Li 0.000 0.000 8.731
Ga -1.839 -1.062 5.820
Ga -1.839 1.062 11.641
Ga 0.000 2.124 5.820
F -1.511 -0.873 7.627
F 0.000 -1.652 5.461
F -1.430 0.826 5.461
F 0.000 -1.745 9.835
F -1.511 0.873 9.835
F -1.430 -0.826 12.001
F 1.430 0.826 5.461
F 1.511 -0.873 7.627
F 0.000 1.745 7.627
F 1.430 -0.826 12.001
F 0.000 1.652 12.001
F 1.511 0.873 9.835

***

5
Lattice="4.835 0.000 0.000 0.000 4.835 0.000 0.000 0.000 4.835" Properties=species:S:1:pos:R:3 comment="PBE Sc3TiPd, relaxed" mass_density_g_cm3=4.2 total_magnetization_mub_per_atom=0.000 e_tot_ev_per_atom=-5.8640 polymorph_energy_kj_per_mol_atoms=33.67 ef_ev_per_atom=0.553 pbc="T T T"
Sc 0.000 0.000 2.418
Sc 0.000 2.418 0.000
Sc 2.418 0.000 0.000
Ti 0.000 0.000 0.000
Pd 2.418 2.418 2.418

***

5
Lattice="5.550 0.000 0.000 0.000 5.550 0.000 0.000 0.000 4.049" Properties=species:S:1:pos:R:3 comment="PBE HgAsCl2F, relaxed" mass_density_g_cm3=4.9 total_magnetization_mub_per_atom=0.354 e_tot_ev_per_atom=-1.9265 formation_energy_uncorrected_ev_per_atom=0.1767 pbc="T T T"
Hg 0.000 0.000 0.000
As 2.775 2.775 0.000
Cl 0.000 2.775 2.024
Cl 2.775 0.000 2.024
F 0.000 0.000 2.024

***

18
Lattice="0.000 5.851 5.851 5.851 0.000 5.851 5.851 5.851 0.000" Properties=species:S:1:pos:R:3 comment="PBE DyAl2Zn6, relaxed" mass_density_g_cm3=5.0 total_magnetization_mub_per_atom=0.000 e_tot_ev_per_atom=-1.8474 polymorph_energy_kj_per_mol_atoms=40.35 ef_ev_per_atom=0.345 pbc="T T T"
Dy 1.463 1.463 1.463
Dy 10.239 10.239 10.239
Al 5.851 2.925 2.925
Al 2.925 5.851 2.925
Al 2.925 2.925 5.851
Al 5.851 5.851 5.851
Zn 4.388 4.388 1.447
Zn 4.388 1.447 4.388
Zn 7.329 4.388 4.388
Zn 7.314 7.314 4.372
Zn 7.314 4.372 7.314
Zn 10.255 7.314 7.314
Zn 1.447 4.388 4.388
Zn 4.388 7.329 4.388
Zn 4.388 4.388 7.329
Zn 4.372 7.314 7.314
Zn 7.314 10.255 7.314
Zn 7.314 7.314 10.255